(1)
! ThMg9Hg2 PBE-GGA optimized geometry; values from VASP
! - V (Å³/f.u.) = 275.9
! - DFT formation energy (eV/atom) = -0.081
! - theoretical density (g cm⁻³) = 5.13
! - D(E_F) (states/eV per atom) = 0.4520
! - total magnetic moment (μB/atom) = 0.000
&SYSTEM
  ibrav = 0, nat = 24, ntyp = 3
/
ATOMIC_SPECIES
Th 232.04 Th.upf
Mg 24.30 Mg.upf
Hg 200.59 Hg.upf
CELL_PARAMETERS angstrom
-5.994 5.994 3.839
5.994 -5.994 3.839
5.994 5.994 -3.839
ATOMIC_POSITIONS crystal
Th 0.375 0.625 0.750
Th 0.625 0.375 0.250
Mg 0.125 0.875 0.250
Mg 0.127 0.555 0.330
Mg 0.127 0.797 0.571
Mg 0.203 0.275 0.330
Mg 0.203 0.873 0.929
Mg 0.275 0.203 0.830
Mg 0.275 0.445 0.071
Mg 0.445 0.275 0.571
Mg 0.445 0.873 0.170
Mg 0.555 0.127 0.830
Mg 0.555 0.725 0.429
Mg 0.725 0.555 0.929
Mg 0.725 0.797 0.170
Mg 0.797 0.127 0.071
Mg 0.797 0.725 0.670
Mg 0.873 0.203 0.429
Mg 0.873 0.445 0.670
Mg 0.875 0.125 0.750
Hg 0.000 0.000 0.000
Hg 0.000 0.000 0.500
Hg 0.000 0.500 0.000
Hg 0.500 0.000 0.500



(2)
! La2PmCu2Ge2 PBE-GGA optimized geometry; values from VASP
! - V (Å³/f.u.) = 158.3
! - DFT formation energy (eV/atom) = -0.509
! - theoretical density (g cm⁻³) = 7.29
! - D(E_F) (states/eV per atom) = 0.4894
! - total magnetic moment (μB/atom) = 0.000
&SYSTEM
  ibrav = 0, nat = 7, ntyp = 4
/
ATOMIC_SPECIES
La 138.91 La.upf
Pm 145.00 Pm.upf
Cu 63.55 Cu.upf
Ge 72.64 Ge.upf
CELL_PARAMETERS angstrom
2.165 1.250 9.745
-2.165 1.250 9.745
0.000 -2.500 9.745
ATOMIC_POSITIONS crystal
La 0.131 0.131 0.131
La 0.869 0.869 0.869
Pm 0.000 0.000 0.000
Cu 0.400 0.400 0.400
Cu 0.600 0.600 0.600
Ge 0.266 0.266 0.266
Ge 0.734 0.734 0.734



(3)
! ScCd2Ru2 PBE-GGA optimized geometry; values from VASP
! - V (Å³/f.u.) = 94.3
! - DFT formation energy (eV/atom) = 0.135
! - theoretical density (g cm⁻³) = 8.31
! - D(E_F) (states/eV per atom) = 1.1836
! - total magnetic moment (μB/atom) = 0.000
&SYSTEM
  ibrav = 0, nat = 10, ntyp = 3
/
ATOMIC_SPECIES
Sc 44.96 Sc.upf
Cd 112.41 Cd.upf
Ru 101.07 Ru.upf
CELL_PARAMETERS angstrom
6.736 0.000 0.000
0.000 6.736 0.000
0.000 0.000 4.159
ATOMIC_POSITIONS crystal
Sc 0.000 0.000 0.000
Sc 0.500 0.500 0.000
Cd 0.166 0.334 0.500
Cd 0.334 0.834 0.500
Cd 0.666 0.166 0.500
Cd 0.834 0.666 0.500
Ru 0.132 0.632 0.000
Ru 0.368 0.132 0.000
Ru 0.632 0.868 0.000
Ru 0.868 0.368 0.000



(4)
! La2YPtPb PBE-GGA optimized geometry; values from VASP
! - V (Å³/f.u.) = 173.6
! - DFT formation energy (eV/atom) = -0.586
! - theoretical density (g cm⁻³) = 7.36
! - D(E_F) (states/eV per atom) = 1.1375
! - total magnetic moment (μB/atom) = 0.000
&SYSTEM
  ibrav = 0, nat = 5, ntyp = 4
/
ATOMIC_SPECIES
La 138.91 La.upf
Y 88.91 Y.upf
Pt 195.08 Pt.upf
Pb 207.20 Pb.upf
CELL_PARAMETERS angstrom
5.588 0.000 0.000
0.000 5.588 0.000
0.000 0.000 5.558
ATOMIC_POSITIONS crystal
La 0.000 0.500 0.000
La 0.500 0.000 0.000
Y 0.000 0.000 0.500
Pt 0.000 0.000 0.000
Pb 0.500 0.500 0.500



(5)
! PmTaSi2Os PBE-GGA optimized geometry; values from VASP
! - V (Å³/f.u.) = 90.8
! - theoretical density (g cm⁻³) = 10.47
! - D(E_F) (states/eV per atom) = 0.5579
! - uncorrected formation energy (eV/atom) = -0.60
! - total magnetic moment (μB/atom) = 0.000
&SYSTEM
  ibrav = 0, nat = 5, ntyp = 4
/
ATOMIC_SPECIES
Pm 145.00 Pm.upf
Ta 180.95 Ta.upf
Si 28.09 Si.upf
Os 190.23 Os.upf
CELL_PARAMETERS angstrom
-2.023 2.023 5.546
2.023 -2.023 5.546
2.023 2.023 -5.546
ATOMIC_POSITIONS crystal
Pm 0.000 0.000 0.000
Ta 0.250 0.750 0.500
Si 0.390 0.390 0.000
Si 0.610 0.610 0.000
Os 0.750 0.250 0.500



(6)
! Ac2AuCl PBE-GGA optimized geometry; values from VASP
! - V (Å³/f.u.) = 130.4
! - theoretical density (g cm⁻³) = 8.74
! - D(E_F) (states/eV per atom) = 0.5331
! - offset from the most stable computed form (meV/atom) = 0
! - uncorrected formation energy (eV/atom) = -1.16
! - total magnetic moment (μB/atom) = 0.000
&SYSTEM
  ibrav = 0, nat = 4, ntyp = 3
/
ATOMIC_SPECIES
Ac 227.00 Ac.upf
Au 196.97 Au.upf
Cl 35.45 Cl.upf
CELL_PARAMETERS angstrom
2.310 1.334 7.056
-2.310 1.334 7.056
0.000 -2.667 7.056
ATOMIC_POSITIONS crystal
Ac 0.248 0.248 0.248
Ac 0.752 0.752 0.752
Au 0.500 0.500 0.500
Cl 0.000 0.000 0.000



(7)
! TlVPd2 PBE-GGA optimized geometry; values from VASP
! - V (Å³/f.u.) = 69.2
! - DFT formation energy (eV/atom) = -0.050
! - theoretical density (g cm⁻³) = 11.24
! - D(E_F) (states/eV per atom) = 1.0130
! - offset from the most stable computed form (meV/atom) = 0
! - total magnetic moment (μB/atom) = 0.433
&SYSTEM
  ibrav = 0, nat = 4, ntyp = 3
/
ATOMIC_SPECIES
Tl 204.38 Tl.upf
V 50.94 V.upf
Pd 106.42 Pd.upf
CELL_PARAMETERS angstrom
3.160 0.000 0.000
0.000 3.160 0.000
0.000 0.000 6.928
ATOMIC_POSITIONS crystal
Tl 0.000 0.000 0.000
V 0.000 0.000 0.500
Pd 0.500 0.500 0.287
Pd 0.500 0.500 0.713



(8)
! RbSbI4 PBE-GGA optimized geometry; values from VASP
! - V (Å³/f.u.) = 300.8
! - theoretical density (g cm⁻³) = 3.95
! - offset from the most stable computed form (meV/atom) = 6
! - uncorrected formation energy (eV/atom) = -0.70
! - total magnetic moment (μB/atom) = 0.000
&SYSTEM
  ibrav = 0, nat = 24, ntyp = 3
/
ATOMIC_SPECIES
Rb 85.47 Rb.upf
Sb 121.76 Sb.upf
I 126.90 I.upf
CELL_PARAMETERS angstrom
11.599 0.000 0.000
0.000 8.641 0.000
-2.266 0.000 12.004
ATOMIC_POSITIONS crystal
Rb 0.191 0.234 0.405
Rb 0.191 0.266 0.905
Rb 0.809 0.734 0.095
Rb 0.809 0.766 0.595
Sb 0.316 0.713 0.184
Sb 0.316 0.787 0.684
Sb 0.684 0.213 0.316
Sb 0.684 0.287 0.816
I 0.106 0.514 0.167
I 0.106 0.986 0.667
I 0.165 0.516 0.633
I 0.165 0.984 0.133
I 0.345 0.652 0.961
I 0.345 0.848 0.461
I 0.451 0.093 0.785
I 0.451 0.407 0.285
I 0.549 0.593 0.715
I 0.549 0.907 0.215
I 0.655 0.152 0.539
I 0.655 0.348 0.039
I 0.835 0.016 0.867
I 0.835 0.484 0.367
I 0.894 0.014 0.333
I 0.894 0.486 0.833



(9)
! Cs2PAuI PBE-GGA optimized geometry; values from VASP
! - V (Å³/f.u.) = 229.1
! - theoretical density (g cm⁻³) = 4.50
! - D(E_F) (states/eV per atom) = 0.4056
! - offset from the most stable computed form (meV/atom) = 30
! - uncorrected formation energy (eV/atom) = -0.66
! - total magnetic moment (μB/atom) = 0.083
&SYSTEM
  ibrav = 0, nat = 5, ntyp = 4
/
ATOMIC_SPECIES
Cs 132.91 Cs.upf
P 30.97 P.upf
Au 196.97 Au.upf
I 126.90 I.upf
CELL_PARAMETERS angstrom
7.135 0.000 0.000
0.000 7.135 0.000
0.000 0.000 4.499
ATOMIC_POSITIONS crystal
Cs 0.000 0.500 0.000
Cs 0.500 0.000 0.000
P 0.000 0.000 0.500
Au 0.000 0.000 0.000
I 0.500 0.500 0.500



(10)
! Cr3NiW PBE-GGA optimized geometry; values from VASP
! - V (Å³/f.u.) = 72.9
! - DFT formation energy (eV/atom) = 1.460
! - theoretical density (g cm⁻³) = 9.08
! - D(E_F) (states/eV per atom) = 2.1863
! - offset from the most stable computed form (meV/atom) = 0
! - total magnetic moment (μB/atom) = 0.000
&SYSTEM
  ibrav = 0, nat = 5, ntyp = 3
/
ATOMIC_SPECIES
Cr 52.00 Cr.upf
Ni 58.69 Ni.upf
W 183.84 W.upf
CELL_PARAMETERS angstrom
4.177 0.000 0.000
0.000 4.177 0.000
0.000 0.000 4.177
ATOMIC_POSITIONS crystal
Cr 0.000 0.000 0.500
Cr 0.000 0.500 0.000
Cr 0.500 0.000 0.000
Ni 0.000 0.000 0.000
W 0.500 0.500 0.500